1.
First-principles (PBE) data for crystalline PmMgCdPb at its relaxed geometry, as listed in Alexandria via LeMat-Bulk.

Total magnetic moment: 0.000 μB/cell
Offset from the most stable computed form: 117.9 meV per atom
D(E_F): 3.44 states/eV/cell
DFT formation energy: -0.25 eV/atom
Space group: No. 216

abc: 5.305 5.305 5.305
angles: 60.00 60.00 60.00
Fractional coordinates of all 4 atoms:
Mg 0.000 0.000 0.000
Cd 0.750 0.750 0.750
Pm 0.500 0.500 0.500
Pb 0.250 0.250 0.250



2.
First-principles (PBE) data for crystalline PrMgCdPb at its relaxed geometry, as listed in Alexandria via LeMat-Bulk.

Total magnetic moment: 0.000 μB/cell
Offset from the most stable computed form: 111.2 meV per atom
D(E_F): 3.64 states/eV/cell
DFT formation energy: -0.26 eV/atom
Space group: No. 216

abc: 5.350 5.350 5.350
angles: 60.00 60.00 60.00
Fractional coordinates of all 4 atoms:
Pb 0.750 0.750 0.750
Pr 0.500 0.500 0.500
Mg 0.000 0.000 0.000
Cd 0.250 0.250 0.250



3.
First-principles (PBE) data for crystalline PrMgCdPb at its relaxed geometry, as listed in Alexandria via LeMat-Bulk.

Total magnetic moment: 0.000 μB/cell
Offset from the most stable computed form: 0.0 meV per atom
D(E_F): 1.89 states/eV/cell
DFT formation energy: -0.37 eV/atom
Space group: No. 47

abc: 4.573 4.733 4.958
angles: 90.00 90.00 90.00
Fractional coordinates of all 4 atoms:
Cd 0.500 0.500 0.000
Pb 0.500 0.000 0.500
Mg 0.000 0.000 0.000
Pr 0.000 0.500 0.500



4.
First-principles (PBE) data for crystalline PuMgCdPb at its relaxed geometry, as listed in Alexandria via LeMat-Bulk.

Total magnetic moment: 5.764 μB/cell
Offset from the most stable computed form: 4.5 meV per atom
D(E_F): 12.23 states/eV/cell
DFT formation energy: -0.09 eV/atom
Space group: No. 47

abc: 4.401 4.739 4.973
angles: 90.00 90.00 90.00
Site moments in Bohr magnetons follow the coordinates.
Fractional coordinates of all 4 atoms:
Cd 0.000 0.500 0.500  0.02
Pb 0.000 0.000 0.000  -0.01
Pu 0.500 0.500 0.000  5.39
Mg 0.500 0.000 0.500  0.01



5.
First-principles (PBE) data for crystalline PuMgCdPb at its relaxed geometry, as listed in Alexandria via LeMat-Bulk.

Total magnetic moment: 5.923 μB/cell
Offset from the most stable computed form: 0.0 meV per atom
D(E_F): 12.71 states/eV/cell
DFT formation energy: -0.09 eV/atom
Space group: No. 216

abc: 5.273 5.273 5.273
angles: 60.00 60.00 60.00
Site moments in Bohr magnetons follow the coordinates.
Fractional coordinates of all 4 atoms:
Pb 0.750 0.750 0.750  0.00
Cd 0.250 0.250 0.250  0.03
Mg 0.500 0.500 0.500  0.00
Pu 0.000 0.000 0.000  5.53



6.
First-principles (PBE) data for crystalline RbMg2CdPb4 at its relaxed geometry, as listed in Alexandria via LeMat-Bulk.

Total magnetic moment: 0.000 μB/cell
D(E_F): 4.61 states/eV/cell
DFT formation energy: -0.03 eV/atom
Space group: No. 166

abc: 5.323 5.323 11.057
angles: 76.07 76.07 60.00
Fractional coordinates of all 8 atoms:
Cd 0.500 0.500 0.500
Rb 0.000 0.000 0.000
Pb 0.594 0.594 0.217
Pb 0.406 0.406 0.783
Pb 0.130 0.130 0.610
Pb 0.870 0.870 0.390
Mg 0.763 0.763 0.710
Mg 0.237 0.237 0.290



7.
First-principles (PBE) data for crystalline RbMgCd2Pb4 at its relaxed geometry, as listed in Alexandria via LeMat-Bulk.

Total magnetic moment: 0.000 μB/cell
D(E_F): 4.09 states/eV/cell
DFT formation energy: -0.03 eV/atom
Space group: No. 166

abc: 5.290 5.290 11.223
angles: 76.37 76.37 60.00
Fractional coordinates of all 8 atoms:
Pb 0.593 0.593 0.221
Pb 0.866 0.866 0.401
Pb 0.407 0.407 0.779
Pb 0.134 0.134 0.599
Rb 0.000 0.000 0.000
Mg 0.500 0.500 0.500
Cd 0.245 0.245 0.266
Cd 0.755 0.755 0.734



8.
First-principles (PBE) data for crystalline RbMgCdPb2 at its relaxed geometry, as listed in Alexandria via LeMat-Bulk.

Total magnetic moment: 0.000 μB/cell
D(E_F): 1.40 states/eV/cell
DFT formation energy: -0.11 eV/atom
Space group: No. 119

abc: 5.051 5.051 7.420
angles: 109.90 109.90 90.00
Fractional coordinates of all 5 atoms:
Rb 0.000 0.000 0.000
Mg 0.250 0.750 0.500
Cd 0.750 0.250 0.500
Pb 0.619 0.619 0.238
Pb 0.381 0.381 0.762



9.
First-principles (PBE) data for crystalline RbMgCd2Pb2 at its relaxed geometry, as listed in Alexandria via LeMat-Bulk.

Total magnetic moment: 0.000 μB/cell
D(E_F): 2.01 states/eV/cell
DFT formation energy: -0.07 eV/atom
Space group: No. 164

abc: 4.842 4.842 9.654
angles: 90.00 90.00 120.00
Fractional coordinates of all 6 atoms:
Cd 0.667 0.333 0.388
Cd 0.333 0.667 0.612
Pb 0.667 0.333 0.733
Pb 0.333 0.667 0.267
Mg 0.000 0.000 0.500
Rb 0.000 0.000 0.000



10.
First-principles (PBE) data for crystalline MgCdRhPb at its relaxed geometry, as listed in Alexandria via LeMat-Bulk.

Total magnetic moment: 0.000 μB/cell
D(E_F): 2.28 states/eV/cell
DFT formation energy: -0.04 eV/atom
Space group: No. 216

abc: 4.820 4.820 4.820
angles: 60.00 60.00 60.00
Fractional coordinates of all 4 atoms:
Pb 0.750 0.750 0.750
Mg 0.000 0.000 0.000
Rh 0.500 0.500 0.500
Cd 0.250 0.250 0.250



11.
First-principles (PBE) data for crystalline Mg5Cd2Rh2Pb at its relaxed geometry, as listed in Alexandria via LeMat-Bulk.

Total magnetic moment: 0.000 μB/cell
D(E_F): 8.81 states/eV/cell
DFT formation energy: -0.22 eV/atom
Space group: No. 127

abc: 4.161 9.935 9.935
angles: 90.00 90.00 90.00
Fractional coordinates of all 20 atoms:
Mg 0.500 0.000 0.500
Mg 0.500 0.285 0.582
Mg 0.500 0.918 0.215
Mg 0.500 0.418 0.285
Mg 0.500 0.715 0.418
Mg 0.500 0.500 0.000
Mg 0.500 0.215 0.082
Mg 0.500 0.582 0.715
Mg 0.500 0.785 0.918
Mg 0.500 0.082 0.785
Cd 0.000 0.829 0.671
Cd 0.000 0.171 0.329
Cd 0.000 0.671 0.171
Cd 0.000 0.329 0.829
Rh 0.000 0.380 0.120
Rh 0.000 0.120 0.620
Rh 0.000 0.880 0.380
Rh 0.000 0.620 0.880
Pb 0.000 0.500 0.500
Pb 0.000 0.000 0.000



12.
First-principles (PBE) data for crystalline MgCdSbPb at its relaxed geometry, as listed in Alexandria via LeMat-Bulk.

Uncorrected formation energy: 0.029 eV per atom
Total magnetic moment: 0.000 μB/cell
D(E_F): 2.19 states/eV/cell
Space group: No. 216

abc: 5.350 5.350 5.350
angles: 60.00 60.00 60.00
Fractional coordinates of all 4 atoms:
Pb 0.500 0.500 0.500
Cd 0.250 0.250 0.250
Sb 0.750 0.750 0.750
Mg 0.000 0.000 0.000



Question: D(E_F) of number 3 (PrMgCdPb)?
Answer: 1.89 states/eV/cell